First-principles (PBE) data for crystalline HoErSc3 at its relaxed geometry, as listed in Alexandria.

Unit cell a=5.3208 b=5.9268 c=9.0740 alpha=70.99 beta=90.00 gamma=90.00
Closest atoms and distances in Å follow each position.
Atoms (fractional coordinates):
Sc (0.1834, 0.0919, 0.2052)  7 Sc 3.29-3.45, 4 Er 3.30-3.42, 1 Ho 3.43
Sc (0.1834, 0.9021, 0.6008)  4 Ho 3.31-3.49, 3 Er 3.32-3.48, 5 Sc 3.32-3.45
Sc (0.6834, 0.7685, 0.2012)  7 Sc 3.29-3.45, 4 Er 3.30-3.42, 1 Ho 3.43
Er (0.1834, 0.6918, 0.0067)  10 Sc 3.30-3.48, 2 Ho 3.43
Sc (0.1833, 0.5054, 0.3988)  6 Sc 3.30-3.45, 3 Ho 3.32-3.49, 3 Er 3.32-3.36
Ho (0.6834, 0.5686, 0.6013)  8 Sc 3.31-3.49, 2 Ho 3.35, 2 Er 3.43
Ho (0.1834, 0.2918, 0.8051)  8 Sc 3.31-3.49, 2 Ho 3.35, 2 Er 3.43
Sc (0.6834, 0.9583, 0.8056)  4 Ho 3.31-3.49, 3 Er 3.32-3.48, 5 Sc 3.32-3.45
Er (0.6834, 0.1686, 0.3997)  10 Sc 3.30-3.48, 2 Ho 3.43
Sc (0.6834, 0.3550, 0.0076)  6 Sc 3.30-3.45, 3 Ho 3.32-3.49, 3 Er 3.32-3.36

## Properties
**Magnetization**: 0.01 μB/cell
**SG**: P2_1/m
**Distance to the lowest polymorph of the same formula**: 0 meV per atom

***

First-principles (PBE) data for crystalline Ho4Er3Sc2 at its relaxed geometry, as listed in Alexandria.

Unit cell a=6.6228 b=11.4430 c=11.4430 alpha=50.34 beta=57.35 gamma=57.35
Closest atoms and distances in Å follow each position.
Atoms (fractional coordinates):
Ho (0.0349, 0.8110, 0.5646)  4 Sc 3.30-3.62, 4 Er 3.31-3.50, 2 Ho 3.40-3.52
Er (0.4334, 0.1980, 0.1091)  6 Ho 3.26-3.50, 3 Sc 3.30-3.59, 2 Er 3.42
Er (0.2500, 0.5079, 0.4921)  2 Er 3.32, 6 Ho 3.44-3.57, 2 Sc 3.58
Ho (0.0204, 0.8022, 0.1635)  4 Ho 3.21-3.57, 5 Er 3.26-3.57, 2 Sc 3.29-3.58
Er (0.0666, 0.8909, 0.8020)  6 Ho 3.26-3.50, 3 Sc 3.30-3.59, 2 Er 3.42
Ho (0.5349, 0.5646, 0.8110)  4 Sc 3.30-3.62, 4 Er 3.31-3.50, 2 Ho 3.40-3.52
Ho (0.5204, 0.1635, 0.8022)  4 Ho 3.21-3.57, 5 Er 3.26-3.57, 2 Sc 3.29-3.58
Er (0.5666, 0.8020, 0.8909)  6 Ho 3.26-3.50, 3 Sc 3.30-3.59, 2 Er 3.42
Sc (0.5636, 0.8787, 0.4514)  1 Sc 3.17, 4 Ho 3.29-3.53, 2 Er 3.30-3.38
Ho (0.4796, 0.8365, 0.1978)  4 Ho 3.21-3.57, 5 Er 3.26-3.57, 2 Sc 3.29-3.58
Sc (0.0636, 0.4514, 0.8787)  1 Sc 3.17, 4 Ho 3.29-3.53, 2 Er 3.30-3.38
Sc (0.9364, 0.5486, 0.1213)  1 Sc 3.17, 4 Ho 3.29-3.53, 2 Er 3.30-3.38
Ho (0.9651, 0.1890, 0.4354)  4 Sc 3.30-3.62, 4 Er 3.31-3.50, 2 Ho 3.40-3.52
Ho (0.9796, 0.1978, 0.8365)  4 Ho 3.21-3.57, 5 Er 3.26-3.57, 2 Sc 3.29-3.58
Er (0.7500, 0.4921, 0.5079)  2 Er 3.32, 6 Ho 3.44-3.57, 2 Sc 3.58
Sc (0.4364, 0.1213, 0.5486)  1 Sc 3.17, 4 Ho 3.29-3.53, 2 Er 3.30-3.38
Ho (0.4651, 0.4354, 0.1890)  4 Sc 3.30-3.62, 4 Er 3.31-3.50, 2 Ho 3.40-3.52
Er (0.9334, 0.1091, 0.1980)  6 Ho 3.26-3.50, 3 Sc 3.30-3.59, 2 Er 3.42

## Properties
**Magnetization**: 0.00 μB/cell
**SG**: C2/c
**Distance to the lowest polymorph of the same formula**: 0 meV per atom

***

First-principles (PBE) data for crystalline Ho6ErSc3 at its relaxed geometry, as listed in Alexandria.

Unit cell a=6.1964 b=11.1541 c=11.1541 alpha=130.50 beta=90.00 gamma=90.00
Closest atoms and distances in Å follow each position.
Atoms (fractional coordinates):
Ho (0.3246, 0.4592, 0.8960)  3 Sc 3.15-3.49, 3 Ho 3.32-3.46, 1 Er 3.46
Ho (0.8246, 0.5408, 0.1040)  3 Sc 3.15-3.49, 3 Ho 3.32-3.46, 1 Er 3.46
Ho (0.2937, 0.9853, 0.0147)  2 Ho 3.15, 1 Er 3.22, 4 Sc 3.35-3.47
Ho (0.2902, 0.6976, 0.3024)  1 Sc 3.02, 1 Er 3.24, 2 Ho 3.35
Ho (0.7937, 0.0147, 0.9853)  2 Ho 3.15, 1 Er 3.22, 4 Sc 3.35-3.47
Ho (0.8246, 0.8960, 0.4592)  3 Sc 3.15-3.49, 3 Ho 3.32-3.46, 1 Er 3.46
Ho (0.7902, 0.3024, 0.6976)  1 Sc 3.02, 1 Er 3.24, 2 Ho 3.35
Sc (0.4866, 0.9591, 0.7061)  2 Sc 3.13-3.31, 5 Ho 3.15-3.47, 1 Er 3.37
Sc (0.9866, 0.0409, 0.2939)  2 Sc 3.13-3.31, 5 Ho 3.15-3.47, 1 Er 3.37
Ho (0.3246, 0.1040, 0.5408)  3 Sc 3.15-3.49, 3 Ho 3.32-3.46, 1 Er 3.46
Ho (0.5809, 0.2627, 0.3772)  3 Sc 3.21-3.45, 4 Ho 3.36-3.58
Er (0.0155, 0.1581, 0.8419)  6 Ho 3.22-3.56, 2 Sc 3.37
Sc (0.9866, 0.7061, 0.9591)  2 Sc 3.13-3.31, 5 Ho 3.15-3.47, 1 Er 3.37
Ho (0.0809, 0.7373, 0.6228)  3 Sc 3.21-3.45, 4 Ho 3.36-3.58
Ho (0.0809, 0.3772, 0.2627)  3 Sc 3.21-3.45, 4 Ho 3.36-3.58
Sc (0.4866, 0.2939, 0.0409)  2 Sc 3.13-3.31, 5 Ho 3.15-3.47, 1 Er 3.37
Er (0.5155, 0.8419, 0.1581)  6 Ho 3.22-3.56, 2 Sc 3.37
Sc (0.6018, 0.5831, 0.4169)  3 Ho 3.02-3.31, 2 Sc 3.31
Sc (0.1018, 0.4169, 0.5831)  3 Ho 3.02-3.31, 2 Sc 3.31
Ho (0.5809, 0.6228, 0.7373)  3 Sc 3.21-3.45, 4 Ho 3.36-3.58

## Properties
**Magnetization**: 0.00 μB/cell
**SG**: Cmc2_1
**Distance to the lowest polymorph of the same formula**: 0 meV per atom

***

For each record above, in turn, the calculated energy of formation from the pure elements values are 19 91 127 meV per atom.